[1]
Computed, not measured: Dy4Mn3Ga16 after structural relaxation at the PBE-GGA level of DFT.

a = 6.072 Å, b = 6.072 Å, c = 11.297 Å
α = 90.00°, β = 90.00°, γ = 90.00°
Fractional coordinates of all 23 atoms:
Dy (0.500, 0.000, 0.810)
Dy (0.000, 0.500, 0.190)
Dy (0.000, 0.500, 0.810)
Dy (0.500, 0.000, 0.190)
Mn (0.000, 0.500, 0.500)
Mn (0.000, 0.000, 0.000)
Mn (0.500, 0.000, 0.500)
Ga (0.000, 0.000, 0.783)
Ga (0.284, 0.284, 0.000)
Ga (0.500, 0.500, 0.806)
Ga (0.716, 0.284, 0.000)
Ga (0.500, 0.500, 0.194)
Ga (0.716, 0.716, 0.000)
Ga (0.000, 0.000, 0.217)
Ga (0.751, 0.751, 0.620)
Ga (0.751, 0.249, 0.380)
Ga (0.249, 0.249, 0.620)
Ga (0.249, 0.751, 0.380)
Ga (0.284, 0.716, 0.000)
Ga (0.751, 0.751, 0.380)
Ga (0.751, 0.249, 0.620)
Ga (0.249, 0.249, 0.380)
Ga (0.249, 0.751, 0.620)

Properties
Total DFT energy (no corrections) = -4.52 eV per atom
ΔE_f = -0.418 eV/atom

---

[2]
Computed, not measured: DyMnGa5Ni2 after structural relaxation at the PBE-GGA level of DFT.

a = 4.630 Å, b = 4.630 Å, c = 7.009 Å
α = 90.00°, β = 90.00°, γ = 90.00°
Fractional coordinates of all 9 atoms:
Dy (0.000, 0.000, 0.500)
Mn (0.000, 0.000, 0.000)
Ga (0.000, 0.500, 0.198)
Ga (0.500, 0.000, 0.198)
Ga (0.000, 0.500, 0.802)
Ga (0.500, 0.000, 0.802)
Ga (0.500, 0.500, 0.500)
Ni (0.500, 0.500, 0.171)
Ni (0.500, 0.500, 0.829)

Properties
Total DFT energy (no corrections) = -4.67 eV per atom
ΔE_f = -0.171 eV/atom

---

[3]
Computed, not measured: Dy2MnGa2Ni5 after structural relaxation at the PBE-GGA level of DFT.

a = 3.412 Å, b = 9.494 Å, c = 9.494 Å
α = 90.00°, β = 90.00°, γ = 90.00°
Fractional coordinates of all 20 atoms:
Dy (0.000, 0.676, 0.176)
Dy (0.000, 0.324, 0.824)
Dy (0.000, 0.176, 0.324)
Dy (0.000, 0.824, 0.676)
Mn (0.000, 0.000, 0.000)
Mn (0.000, 0.500, 0.500)
Ga (0.000, 0.123, 0.623)
Ga (0.000, 0.877, 0.377)
Ga (0.000, 0.623, 0.877)
Ga (0.000, 0.377, 0.123)
Ni (0.500, 0.198, 0.056)
Ni (0.500, 0.802, 0.944)
Ni (0.500, 0.056, 0.802)
Ni (0.500, 0.698, 0.444)
Ni (0.500, 0.944, 0.198)
Ni (0.500, 0.302, 0.556)
Ni (0.500, 0.556, 0.698)
Ni (0.500, 0.444, 0.302)
Ni (0.500, 0.500, 0.000)
Ni (0.500, 0.000, 0.500)

Properties
Total DFT energy (no corrections) = -5.64 eV per atom
ΔE_f = -0.307 eV/atom

---

What is the formula in the first record?
Dy4Mn3Ga16

---

Repeat the second record exactly.
Computed, not measured: DyMnGa5Ni2 after structural relaxation at the PBE-GGA level of DFT.

a = 4.630 Å, b = 4.630 Å, c = 7.009 Å
α = 90.00°, β = 90.00°, γ = 90.00°
Fractional coordinates of all 9 atoms:
Dy (0.000, 0.000, 0.500)
Mn (0.000, 0.000, 0.000)
Ga (0.000, 0.500, 0.198)
Ga (0.500, 0.000, 0.198)
Ga (0.000, 0.500, 0.802)
Ga (0.500, 0.000, 0.802)
Ga (0.500, 0.500, 0.500)
Ni (0.500, 0.500, 0.171)
Ni (0.500, 0.500, 0.829)

Properties
Total DFT energy (no corrections) = -4.67 eV per atom
ΔE_f = -0.171 eV/atom

---

The lowest ΔE_f belongs to which entry?
Dy4Mn3Ga16